Computed, not measured: an optimized crystal structure of WIO2F at the GGA+U level of DFT.

a b c (Å): 3.874 3.874 5.710
angles (deg): 90.00 90.00 90.00
Space group P4/mmm (No. 123)
Inequivalent atoms, fractional coordinates:
W 0.000 0.000 0.000 (multiplicity 1)
I 0.000 0.000 0.500 (multiplicity 1)
O 0.000 0.500 0.000 (multiplicity 2)
F 0.500 0.500 0.500 (multiplicity 1)

Results
As for the density of states at the Fermi level: 0.189 states/eV/atom. The calculation puts the raw total energy at -5.219 eV per atom.